A geometry-optimized LaNiSn2 structure. Source: OQMD via LeMat-Bulk, functional PBE-GGA.

a b c (Å): 4.5141 18.3655 4.5841
angles (deg): 90.00 90.00 90.00
Space group Cmcm (No. 63)
Inequivalent atoms, fractional coordinates:
La 0.0000 0.1091 0.2500
Ni 0.0000 0.3179 0.2500
Sn 0.0000 0.2513 0.7500
Sn 0.0000 0.4533 0.2500

VASP energy: -5.29 eV per atom
spin magnetization: 0.0007 μB per atom

A geometry-optimized Ta5Co structure. Source: OQMD via LeMat-Bulk, functional PBE-GGA.

a b c (Å): 5.3937 5.3937 17.4364
angles (deg): 90.00 90.00 120.00
Space group P6_3/mmc (No. 194)
Inequivalent atoms, fractional coordinates:
Ta 0.0000 0.5000 0.0000
Ta 0.1639 0.3278 0.2500
Ta 0.3333 0.6667 0.1242
Ta 0.3333 0.6667 0.6603
Co 0.0000 0.0000 0.1155

energy relative to the elements: 0.496 eV/atom
ΔE to the lowest computed polymorph: 0.487 eV per atom
VASP energy: -10.57 eV per atom
spin magnetization: 0.2253 μB per atom

A geometry-optimized LuBiO3 structure. Source: OQMD via LeMat-Bulk, functional PBE-GGA.

a b c (Å): 7.7269 4.7467 9.0396
angles (deg): 90.00 125.80 90.00
Space group P2_1/c (No. 14)
Inequivalent atoms, fractional coordinates:
Lu 0.2186 0.2499 0.1092
Bi 0.2732 0.7247 0.3863
O 0.1302 0.7502 0.0650
O 0.1500 0.2025 0.8250
O 0.4998 0.0006 0.1624

VASP energy: -6.99 eV per atom
spin magnetization: 0.0002 μB per atom

A geometry-optimized Ac2TaAgO6 structure. Source: OQMD via LeMat-Bulk, functional PBE-GGA.

a b c (Å): 10.3042 5.7178 5.9889
angles (deg): 90.00 121.54 90.00
Space group C2/m (No. 12)
Inequivalent atoms, fractional coordinates:
Ac 0.2480 0.0000 0.2329
Ta 0.0000 0.5000 0.0000
Ag 0.0000 0.0000 0.5000
O 0.0743 0.2593 0.8522
O 0.2074 0.5000 0.3259

VASP energy: -8.00 eV per atom
spin magnetization: 0.0000 μB per atom

A geometry-optimized GdScSi4Ni2 structure. Source: OQMD via LeMat-Bulk, functional PBE-GGA.

a b c (Å): 3.9249 3.9204 16.3475
angles (deg): 90.00 90.00 90.00
Space group Amm2 (No. 38)
Inequivalent atoms, fractional coordinates:
Gd 0.0000 0.0000 0.0000
Sc 0.5000 0.0000 0.2096
Si 0.0000 0.0000 0.3525
Si 0.0000 0.0000 0.6463
Si 0.5000 0.0000 0.5670
Si 0.5000 0.0000 0.8520
Ni 0.0000 0.0000 0.7804
Ni 0.5000 0.0000 0.4276

VASP energy: -6.26 eV per atom
spin magnetization: 0.0004 μB per atom

A geometry-optimized DyNiHg structure. Source: OQMD via LeMat-Bulk, functional PBE-GGA.

a b c (Å): 6.5814 6.5814 6.5814
angles (deg): 90.00 90.00 90.00
Space group F-43m (No. 216)
Inequivalent atoms, fractional coordinates:
Dy 0.0000 0.0000 0.0000
Ni 0.0000 0.0000 0.5000
Hg 0.2500 0.2500 0.2500

energy relative to the elements: 0.069 eV/atom
VASP energy: -3.42 eV per atom
spin magnetization: 0.0034 μB per atom

A geometry-optimized Hf2Zn3Ga3 structure. Source: OQMD via LeMat-Bulk, functional PBE-GGA.

a b c (Å): 4.0259 4.0836 7.9948
angles (deg): 90.00 90.00 90.00
Space group Pmmm (No. 47)
Inequivalent atoms, fractional coordinates:
Hf 0.0000 0.0000 0.2466
Zn 0.0000 0.5000 0.5000
Zn 0.5000 0.5000 0.2582
Ga 0.0000 0.5000 0.0000
Ga 0.5000 0.0000 0.0000
Ga 0.5000 0.0000 0.5000

VASP energy: -4.47 eV per atom
spin magnetization: 0.0001 μB per atom

A geometry-optimized PrHoPb structure. Source: OQMD via LeMat-Bulk, functional PBE-GGA.

a b c (Å): 7.4429 7.4429 7.4429
angles (deg): 90.00 90.00 90.00
Space group F-43m (No. 216)
Inequivalent atoms, fractional coordinates:
Pr 0.0000 0.0000 0.0000
Ho 0.0000 0.0000 0.5000
Pb 0.2500 0.2500 0.7500

ΔE to the lowest computed polymorph: 0.000 eV per atom
VASP energy: -4.57 eV per atom
spin magnetization: 0.0067 μB per atom

A geometry-optimized TePdPbO structure. Source: OQMD via LeMat-Bulk, functional PBE-GGA.

a b c (Å): 6.4924 8.9076 5.9535
angles (deg): 90.00 90.00 90.00
Space group Pca2_1 (No. 29)
Inequivalent atoms, fractional coordinates:
Te 0.1570 0.0017 0.0000
Pd 0.1379 0.7849 0.3110
Pb 0.0650 0.3634 0.2599
O 0.0713 0.4096 0.8623

ΔE to the lowest computed polymorph: 0.125 eV per atom
VASP energy: -4.72 eV per atom

A geometry-optimized AcPaW structure. Source: OQMD via LeMat-Bulk, functional PBE-GGA.

a b c (Å): 7.0868 7.0868 7.0868
angles (deg): 90.00 90.00 90.00
Space group F-43m (No. 216)
Inequivalent atoms, fractional coordinates:
Ac 0.0000 0.0000 0.0000
Pa 0.0000 0.0000 0.5000
W 0.2500 0.2500 0.7500

energy relative to the elements: 0.888 eV/atom
VASP energy: -7.97 eV per atom
spin magnetization: 0.0032 μB per atom

A geometry-optimized AlAuO2 structure. Source: OQMD via LeMat-Bulk, functional PBE-GGA.

a b c (Å): 12.2817 2.8418 5.2628
angles (deg): 90.00 90.00 90.00
Space group Pnma (No. 62)
Inequivalent atoms, fractional coordinates:
Al 0.1816 0.2500 0.1606
Au 0.0691 0.2500 0.6854
O 0.0893 0.7500 0.1724
O 0.2282 0.2500 0.5104

VASP energy: -5.89 eV per atom

A geometry-optimized BaNdMgSe3 structure. Source: OQMD via LeMat-Bulk, functional PBE-GGA.

a b c (Å): 4.2554 14.6167 11.2513
angles (deg): 90.00 90.00 90.00
Space group Cmcm (No. 63)
Inequivalent atoms, fractional coordinates:
Ba 0.0000 0.2477 0.2500
Nd 0.0000 0.5000 0.0000
Mg 0.0000 0.0328 0.7500
Se 0.0000 0.1401 0.5704
Se 0.0000 0.4293 0.7500

VASP energy: -4.71 eV per atom
spin magnetization: 0.0058 μB per atom

A geometry-optimized NdTlZnSe3 structure. Source: OQMD via LeMat-Bulk, functional PBE-GGA.

a b c (Å): 11.8299 4.3478 12.6167
angles (deg): 90.00 90.00 90.00
Space group Pnma (No. 62)
Inequivalent atoms, fractional coordinates:
Nd 0.0225 0.2500 0.1746
Tl 0.1687 0.2500 0.5031
Zn 0.2494 0.7500 0.2987
Se 0.0456 0.7500 0.3368
Se 0.1050 0.2500 0.9403
Se 0.2177 0.7500 0.6980

ΔE to the lowest computed polymorph: 0.021 eV per atom
VASP energy: -4.25 eV per atom
spin magnetization: 0.0004 μB per atom

A geometry-optimized TbTc2Mo2 structure. Source: OQMD via LeMat-Bulk, functional PBE-GGA.

a b c (Å): 4.3924 4.3924 10.1145
angles (deg): 90.00 90.00 90.00
Space group I4/mmm (No. 139)
Inequivalent atoms, fractional coordinates:
Tb 0.0000 0.0000 0.0000
Tc 0.0000 0.5000 0.2500
Mo 0.0000 0.0000 0.3724

energy relative to the elements: 0.159 eV/atom
ΔE to the lowest computed polymorph: 0.095 eV per atom
VASP energy: -9.25 eV per atom
spin magnetization: 0.0023 μB per atom

A geometry-optimized CdTe2Ir structure. Source: OQMD via LeMat-Bulk, functional PBE-GGA.

a b c (Å): 7.0844 7.0844 7.0844
angles (deg): 90.00 90.00 90.00
Space group F-43m (No. 216)
Inequivalent atoms, fractional coordinates:
Cd 0.0000 0.0000 0.0000
Te 0.0000 0.0000 0.5000
Te 0.2500 0.2500 0.7500
Ir 0.2500 0.2500 0.2500

VASP energy: -3.38 eV per atom
spin magnetization: 0.0032 μB per atom

A geometry-optimized Nb4SbAsC2 structure. Source: OQMD via LeMat-Bulk, functional PBE-GGA.

a b c (Å): 3.3476 3.3476 12.6492
angles (deg): 90.00 90.00 120.00
Space group P-6m2 (No. 187)
Inequivalent atoms, fractional coordinates:
Nb 0.0000 0.0000 0.1474
Nb 0.3333 0.6667 0.3259
Sb 0.0000 0.0000 0.5000
As 0.3333 0.6667 0.0000
C 0.6667 0.3333 0.2393

VASP energy: -8.96 eV per atom
spin magnetization: 0.0030 μB per atom

A geometry-optimized GdDyAsO structure. Source: OQMD via LeMat-Bulk, functional PBE-GGA.

a b c (Å): 4.3173 4.3173 8.9123
angles (deg): 90.00 90.00 90.00
Space group P4/nmm (No. 129, origin choice 2)
Inequivalent atoms, fractional coordinates:
Gd 0.2500 0.7500 0.0000
Dy 0.2500 0.2500 0.4006
As 0.2500 0.2500 0.7903
O 0.2500 0.7500 0.5000

ΔE to the lowest computed polymorph: 0.110 eV per atom
VASP energy: -6.58 eV per atom
spin magnetization: 0.0046 μB per atom

A geometry-optimized MgCu2Si structure. Source: OQMD via LeMat-Bulk, functional PBE-GGA.

a b c (Å): 6.0590 6.0590 6.0590
angles (deg): 90.00 90.00 90.00
Space group Pm-3m (No. 221)
Inequivalent atoms, fractional coordinates:
Mg 0.0000 0.0000 0.0000
Mg 0.0000 0.0000 0.5000
Cu 0.2638 0.2638 0.2638
Si 0.0000 0.5000 0.5000
Si 0.5000 0.5000 0.5000

VASP energy: -3.59 eV per atom

A geometry-optimized LiYCd2 structure. Source: OQMD via LeMat-Bulk, functional PBE-GGA.

a b c (Å): 10.4601 6.8218 6.7146
angles (deg): 90.00 129.89 90.00
Space group C2 (No. 5)
Inequivalent atoms, fractional coordinates:
Li 0.0008 0.0000 0.2484
Y 0.0002 0.5064 0.2500
Cd 0.2415 0.2455 0.7422
Cd 0.2444 0.2490 0.2445

VASP energy: -2.77 eV per atom
spin magnetization: 0.0022 μB per atom

A geometry-optimized LiMgAu2 structure. Source: OQMD via LeMat-Bulk, functional PBE-GGA.

a b c (Å): 3.2429 3.2429 6.2919
angles (deg): 90.00 90.00 90.00
Space group P4/mmm (No. 123)
Inequivalent atoms, fractional coordinates:
Li 0.0000 0.0000 0.0000
Mg 0.0000 0.0000 0.5000
Au 0.5000 0.5000 0.2370

VASP energy: -3.08 eV per atom